(1)
VASP calculation (PBE) on a geometry-optimized CaTm2Pb5 structure.

Geometry as POSCAR:
```
CaTm2Pb5
1.0
6.391 -0.232 -2.042
-3.463 5.376 -2.044
0.128 0.227 6.709
Pb Tm Ca
5 2 1
Direct
0.278 0.278 0.500
0.778 0.778 0.500
0.278 0.277 0.000
0.278 0.777 0.000
0.778 0.278 0.000
0.278 0.778 0.500
0.778 0.278 0.500
0.778 0.778 0.000
```

Summary:
- total magnetic moment (μB/atom) = 0.000
- electronic total energy (eV/atom) = -4.0040
- DOS(E_F) (states/eV per cell) = 3.6



(2)
VASP calculation (PBE) on a geometry-optimized Ac8Dy2Y3 structure.

Geometry as POSCAR:
```
Ac8Dy2Y3
1.0
-2.734 5.705 2.080
-5.500 -2.373 2.863
2.053 -2.199 12.280
Dy Ac Y
2 8 3
Direct
0.767 0.852 0.537
0.233 0.148 0.463
0.385 0.922 0.774
0.082 0.391 0.151
0.918 0.609 0.849
0.307 0.546 0.615
0.847 0.228 0.692
0.153 0.772 0.308
0.615 0.078 0.226
0.693 0.454 0.385
0.537 0.701 0.073
0.463 0.299 0.927
0.000 0.000 0.000
```

Summary:
- total magnetic moment (μB/atom) = 0.000
- electronic total energy (eV/atom) = -4.6708
- DOS(E_F) (states/eV per cell) = 21.1



(3)
VASP calculation (PBE) on a geometry-optimized BaPdC2O6 structure.

Geometry as POSCAR:
```
BaPdC2O6
1.0
5.187 0.000 0.000
2.593 4.492 0.000
2.593 1.497 6.011
C O Pd Ba
2 6 1 1
Direct
0.763 0.763 0.712
0.237 0.237 0.288
0.029 0.534 0.719
0.971 0.466 0.281
0.534 0.718 0.719
0.466 0.282 0.281
0.718 0.029 0.719
0.282 0.971 0.281
0.500 0.500 0.500
0.000 0.000 0.000
```

Summary:
- total magnetic moment (μB/atom) = 0.200
- electronic total energy (eV/atom) = -7.0253
- formation energy without anion corrections (meV per atom) = -1494



(4)
VASP calculation (PBE) on a geometry-optimized KAlPb structure.

Geometry as POSCAR:
```
KAlPb
1.0
-6.657 -5.604 9.446
10.496 0.008 7.402
1.301 -0.588 9.299
Pb K Al
4 4 4
Direct
0.000 0.374 0.000
0.000 0.626 0.000
0.626 0.000 0.000
0.374 0.000 0.000
0.500 0.302 0.000
0.302 0.500 0.000
0.698 0.500 0.000
0.500 0.698 0.000
0.780 0.780 0.000
0.780 0.220 0.000
0.220 0.220 0.000
0.220 0.780 0.000
```

Summary:
- total magnetic moment (μB/atom) = 0.001
- electronic total energy (eV/atom) = -2.6681
- DOS(E_F) (states/eV per cell) = 8.9



(5)
VASP calculation (PBE) on a geometry-optimized YEr3Th structure.

Geometry as POSCAR:
```
YEr3Th
1.0
6.687 0.035 0.435
-3.470 6.218 -6.313
0.348 -1.759 9.344
Er Y Th
6 2 2
Direct
0.251 0.286 0.136
0.750 0.515 0.066
0.752 0.114 0.466
0.250 0.485 0.934
0.749 0.714 0.864
0.248 0.886 0.534
0.252 0.682 0.733
0.748 0.318 0.267
0.248 0.075 0.327
0.752 0.925 0.673
```

Summary:
- total magnetic moment (μB/atom) = 0.000
- electronic total energy (eV/atom) = -5.4863
- DOS(E_F) (states/eV per cell) = 16.3



(6)
VASP calculation (PBE) on a geometry-optimized DyZrIrRu structure.

Geometry as POSCAR:
```
DyZrIrRu
1.0
4.736 0.000 0.000
2.368 4.102 0.000
2.368 1.367 3.867
Ir Zr Dy Ru
1 1 1 1
Direct
0.250 0.250 0.250
0.500 0.500 0.500
0.000 0.000 0.000
0.750 0.750 0.750
```

Summary:
- total magnetic moment (μB/atom) = 0.000
- electronic total energy (eV/atom) = -8.4827
- DOS(E_F) (states/eV per cell) = 1.3



Question: The lowest electronic total energy belongs to which entry?
Answer: DyZrIrRu